A plane-wave DFT calculation with PBE was carried out for a geometry-optimized Be2BMoP structure.

```
data_Be2BMoP
_chemical_formula_sum 'Be2 B1 Mo1 P1'
_cell_length_a 4.422
_cell_length_b 4.534
_cell_length_c 4.422
_cell_angle_alpha 90.00
_cell_angle_beta 90.00
_cell_angle_gamma 90.00
_symmetry_space_group_name_H-M 'P 1'
_symmetry_Int_Tables_number 1
loop_
_symmetry_equiv_pos_as_xyz
'x,y,z'
loop_
_atom_site_label
_atom_site_fract_x
_atom_site_fract_y
_atom_site_fract_z
Be1 0.000 0.000 0.500
Be2 0.500 0.000 0.000
B1 0.500 0.500 0.500
Mo1 0.000 0.000 0.000
P1 0.000 0.500 0.000
```

Values from the calculation:
M_tot, Bohr magnetons per cell: 0.00
Electronic total energy, eV/atom: -4.42